The following is a SCAN calculation of InPb2 at its PBEsol-relaxed geometry, from the Alexandria database.

Cell: 6.1155 6.1440 6.1440 Å, 75.66 60.15 60.15°
Fractional coordinates of all 6 atoms:
In (0.2500, 0.0000, 0.0000)
In (0.7500, 0.0000, 0.0000)
Pb (0.8467, 0.5000, 0.8066)
Pb (0.1533, 0.5000, 0.1934)
Pb (0.3467, 0.8066, 0.5000)
Pb (0.6533, 0.1934, 0.5000)

## Properties
**Calculated formation energy**: 77 meV/atom
**Fermi-level density of states**: 3.33 states/eV/cell